A relaxed BeSiBr2 crystal. Source: the Alexandria database, functional GGA-PBEsol.

a = 3.2653 Å, b = 3.5583 Å, c = 8.6173 Å
α = 90.00°, β = 90.00°, γ = 117.31°
Last column: nearest neighbours and their distance in Å.
Fractional positions:
Be 0.5000 0.0000 0.7366  2 Br 2.19, 2 Si 2.35
Br 0.0000 0.0000 0.9062  2 Be 2.19
Br 0.5000 0.0000 0.3164  2 Si 2.53
Si 0.0000 0.0000 0.5409  2 Be 2.35, 2 Br 2.53

## Properties
M_tot, μB per formula unit: 0.00
ΔE_f (raw), eV per atom: -0.02
Energy above the lowest structure with this stoichiometry, meV/atom: 0.0
Raw total energy, eV/cell: -13.58

***

A relaxed BeSiBr2 crystal. Source: the Alexandria database, functional GGA-PBEsol.

a = 3.3315 Å, b = 4.7423 Å, c = 4.7426 Å
α = 90.03°, β = 90.00°, γ = 90.00°
Last column: nearest neighbours and their distance in Å.
Fractional positions:
Be 0.5000 0.5000 0.5000  8 Br 2.90
Si 0.5000 0.0000 0.0000  8 Br 2.90
Br 0.0000 0.0000 0.5000  4 Be 2.90, 4 Si 2.90
Br 0.0000 0.5000 0.0000  4 Si 2.90, 4 Be 2.90

## Properties
M_tot, μB per formula unit: 0.00
ΔE_f (raw), eV per atom: 0.66
Energy above the lowest structure with this stoichiometry, meV/atom: 677.5
Raw total energy, eV/cell: -10.87

***

A relaxed BeSnBr2 crystal. Source: the Alexandria database, functional GGA-PBEsol.

a = 5.1083 Å, b = 5.1083 Å, c = 5.1083 Å
α = 60.00°, β = 60.00°, γ = 60.00°
Last column: nearest neighbours and their distance in Å.
Fractional positions:
Be 0.0000 0.0000 0.0000  8 Br 3.13
Sn 0.5000 0.5000 0.5000  8 Br 3.13
Br 0.7500 0.7500 0.7500  4 Be 3.13, 4 Sn 3.13
Br 0.2500 0.2500 0.2500  4 Sn 3.13, 4 Be 3.13

## Properties
M_tot, μB per formula unit: 0.00
ΔE_f (raw), eV per atom: 0.31
Raw total energy, eV/cell: -10.75

***

A relaxed SrBe2Br crystal. Source: the Alexandria database, functional GGA-PBEsol.

a = 5.0076 Å, b = 5.0076 Å, c = 5.0076 Å
α = 60.00°, β = 60.00°, γ = 60.00°
Last column: nearest neighbours and their distance in Å.
Fractional positions:
Br 0.0000 0.0000 0.0000  8 Be 3.07
Be 0.7500 0.7500 0.7500  4 Br 3.07, 4 Sr 3.07
Be 0.2500 0.2500 0.2500  4 Br 3.07, 4 Sr 3.07
Sr 0.5000 0.5000 0.5000  8 Be 3.07

## Properties
M_tot, μB per formula unit: 0.00
ΔE_f (raw), eV per atom: 0.75
Energy above the lowest structure with this stoichiometry, meV/atom: 603.6
Raw total energy, eV/cell: -8.69

***

A relaxed SrBeBr crystal. Source: the Alexandria database, functional GGA-PBEsol.

a = 4.9502 Å, b = 4.9502 Å, c = 4.9502 Å
α = 60.00°, β = 60.00°, γ = 60.00°
Last column: nearest neighbours and their distance in Å.
Fractional positions:
Be 0.7500 0.7500 0.7500  4 Sr 3.03, 4 Br 3.03
Br 0.0000 0.0000 0.0000  4 Be 3.03
Sr 0.5000 0.5000 0.5000  4 Be 3.03

## Properties
M_tot, μB per formula unit: 0.00
ΔE_f (raw), eV per atom: 0.12
Energy above the lowest structure with this stoichiometry, meV/atom: 247.9
Raw total energy, eV/cell: -7.35

***

A relaxed SrBe2Br crystal. Source: the Alexandria database, functional GGA-PBEsol.

a = 4.2984 Å, b = 4.3052 Å, c = 4.7901 Å
α = 90.00°, β = 90.00°, γ = 90.00°
Last column: nearest neighbours and their distance in Å.
Fractional positions:
Sr 0.5000 0.5000 0.5000  4 Br 3.04, 8 Be 3.39
Br 0.0000 0.0000 0.5000  4 Be 2.63
Be 0.0000 0.2520 0.0000  2 Be 2.13-2.17
Be 0.0000 0.7480 0.0000  2 Be 2.13-2.17

## Properties
M_tot, μB per formula unit: 0.00
ΔE_f (raw), eV per atom: 0.15
Energy above the lowest structure with this stoichiometry, meV/atom: 0.0
Raw total energy, eV/cell: -11.11

***

A relaxed SrBeBr crystal. Source: the Alexandria database, functional GGA-PBEsol.

a = 3.7759 Å, b = 3.7759 Å, c = 6.6048 Å
α = 106.61°, β = 106.61°, γ = 90.00°
Last column: nearest neighbours and their distance in Å.
Fractional positions:
Sr 0.6704 0.6704 0.3409  4 Br 3.14, 4 Be 3.21
Br 0.3068 0.3068 0.6137  4 Sr 3.14, 1 Be 3.43
Be 0.0227 0.0227 0.0455  4 Sr 3.21, 1 Br 3.43

## Properties
M_tot, μB per formula unit: 0.00
ΔE_f (raw), eV per atom: -0.13
Energy above the lowest structure with this stoichiometry, meV/atom: 0.0
Raw total energy, eV/cell: -8.09

***

A relaxed SrBe2Br crystal. Source: the Alexandria database, functional GGA-PBEsol.

a = 4.1639 Å, b = 5.0067 Å, c = 5.5782 Å
α = 116.67°, β = 111.92°, γ = 90.00°
Last column: nearest neighbours and their distance in Å.
Fractional positions:
Be 0.0792 0.0792 0.1584  2 Be 2.11
Be 0.6187 0.1187 0.2374  2 Be 2.11
Br 0.5198 0.5198 0.0396  2 Be 2.66
Sr 0.2823 0.7823 0.5646  5 Be 3.05-3.40, 4 Br 3.16-3.30

## Properties
M_tot, μB per formula unit: 0.00
ΔE_f (raw), eV per atom: 0.17
Energy above the lowest structure with this stoichiometry, meV/atom: 18.9
Raw total energy, eV/cell: -11.03

***

A relaxed SrBe2Br crystal. Source: the Alexandria database, functional GGA-PBEsol.

a = 4.0827 Å, b = 4.0827 Å, c = 5.3691 Å
α = 90.00°, β = 90.00°, γ = 90.00°
Last column: nearest neighbours and their distance in Å.
Fractional positions:
Be 0.0000 0.5000 0.0000  4 Be 2.89
Be 0.5000 0.0000 0.0000  4 Be 2.89
Br 0.5000 0.5000 0.5000  4 Sr 2.89
Sr 0.0000 0.0000 0.5000  4 Br 2.89

## Properties
M_tot, μB per formula unit: 0.00
ΔE_f (raw), eV per atom: 0.35
Energy above the lowest structure with this stoichiometry, meV/atom: 203.2
Raw total energy, eV/cell: -10.29

***

A relaxed TaBeBr2 crystal. Source: the Alexandria database, functional GGA-PBEsol.

a = 5.6971 Å, b = 6.3017 Å, c = 5.6971 Å
α = 63.13°, β = 90.00°, γ = 116.87°
Last column: nearest neighbours and their distance in Å.
Fractional positions:
Br 0.3750 0.2500 0.1845  2 Be 2.16
Br 0.5655 0.7500 0.3750  2 Be 2.16
Br 0.8750 0.2500 0.5655  2 Be 2.16
Br 0.1845 0.7500 0.8750  2 Be 2.16
Ta 0.7500 0.5000 0.7500  4 Br 2.57
Ta 0.0000 0.0000 0.0000  4 Br 2.57
Be 0.2500 0.5000 0.2500  4 Br 2.16
Be 0.5000 0.0000 0.5000  4 Br 2.16

## Properties
M_tot, μB per formula unit: 0.47
ΔE_f (raw), eV per atom: 0.87
Energy above the lowest structure with this stoichiometry, meV/atom: 452.7
Raw total energy, eV/cell: -33.63

***

A relaxed TaBe2Br crystal. Source: the Alexandria database, functional GGA-PBEsol.

a = 2.9508 Å, b = 3.5700 Å, c = 6.0996 Å
α = 90.00°, β = 104.00°, γ = 90.00°
Last column: nearest neighbours and their distance in Å.
Fractional positions:
Br 0.8152 0.0000 0.6304  2 Be 2.49
Be 0.9613 0.5000 0.9226  2 Be 2.11
Be 0.0566 0.0000 0.1132  2 Be 2.11
Ta 0.6332 0.5000 0.2665  6 Be 2.49-2.51

## Properties
M_tot, μB per formula unit: 0.00
ΔE_f (raw), eV per atom: 0.43
Energy above the lowest structure with this stoichiometry, meV/atom: 0.0
Raw total energy, eV/cell: -20.69

***

A relaxed TaBeBr2 crystal. Source: the Alexandria database, functional GGA-PBEsol.

a = 3.0909 Å, b = 4.6648 Å, c = 6.6518 Å
α = 110.53°, β = 103.43°, γ = 90.00°
Last column: nearest neighbours and their distance in Å.
Fractional positions:
Ta 0.5061 0.5061 0.0122  2 Be 2.48, 2 Br 2.62
Br 0.1809 0.6809 0.3619  2 Ta 2.62
Br 0.9681 0.9681 0.9362  2 Be 2.77, 4 Ta 2.84, 2 Br 3.09
Be 0.8449 0.3449 0.6897  2 Ta 2.48, 2 Br 2.77

## Properties
M_tot, μB per formula unit: 0.39
ΔE_f (raw), eV per atom: 0.42
Energy above the lowest structure with this stoichiometry, meV/atom: 0.0
Raw total energy, eV/cell: -18.63

***

A relaxed TaBeBr2 crystal. Source: the Alexandria database, functional GGA-PBEsol.

a = 3.6896 Å, b = 3.6896 Å, c = 5.9541 Å
α = 108.05°, β = 108.05°, γ = 90.00°
Last column: nearest neighbours and their distance in Å.
Fractional positions:
Ta 0.5000 0.5000 0.0000  4 Br 2.61
Br 0.0000 0.0000 0.0000  4 Ta 2.61
Br 0.7500 0.2500 0.5000  4 Be 2.61
Be 0.2500 0.7500 0.5000  4 Br 2.61

## Properties
M_tot, μB per formula unit: 0.77
ΔE_f (raw), eV per atom: 0.95
Energy above the lowest structure with this stoichiometry, meV/atom: 539.3
Raw total energy, eV/cell: -16.47

***

A relaxed Ta2BeBr crystal. Source: the Alexandria database, functional GGA-PBEsol.

a = 2.9707 Å, b = 4.6033 Å, c = 5.4526 Å
α = 114.97°, β = 105.81°, γ = 90.00°
Last column: nearest neighbours and their distance in Å.
Fractional positions:
Ta 0.7689 0.2689 0.5378  2 Be 2.58, 4 Br 2.74
Ta 0.9823 0.9823 0.9647  2 Br 2.60, 4 Be 2.74
Be 0.4930 0.4930 0.9860  6 Ta 2.58-2.74, 2 Br 2.89
Br 0.2558 0.7558 0.5115  6 Ta 2.60-2.74, 2 Be 2.89

## Properties
M_tot, μB per formula unit: 0.00
ΔE_f (raw), eV per atom: 0.58
Energy above the lowest structure with this stoichiometry, meV/atom: 0.0
Raw total energy, eV/cell: -28.67

***

A relaxed TaBeBr2 crystal. Source: the Alexandria database, functional GGA-PBEsol.

a = 3.0387 Å, b = 3.2487 Å, c = 9.7524 Å
α = 90.00°, β = 90.00°, γ = 117.88°
Last column: nearest neighbours and their distance in Å.
Fractional positions:
Br 0.0000 0.0000 0.2815  2 Ta 2.62
Br 0.0000 0.0000 0.7185  2 Ta 2.62
Be 0.5000 0.0000 0.0000  6 Be 3.04-3.25, 4 Br 3.14
Ta 0.5000 0.0000 0.5000  4 Br 2.62

## Properties
M_tot, μB per formula unit: 0.00
ΔE_f (raw), eV per atom: 0.56
Energy above the lowest structure with this stoichiometry, meV/atom: 145.6
Raw total energy, eV/cell: -18.05

***

A relaxed Ta2BeBr crystal. Source: the Alexandria database, functional GGA-PBEsol.

a = 3.8291 Å, b = 3.8291 Å, c = 5.1124 Å
α = 111.99°, β = 111.99°, γ = 90.00°
Last column: nearest neighbours and their distance in Å.
Fractional positions:
Ta 0.0000 0.0000 0.0000  4 Be 2.71, 4 Ta 2.89, 4 Br 2.89
Ta 0.7500 0.2500 0.5000  4 Br 2.71, 4 Be 2.89, 4 Ta 2.89
Br 0.2500 0.7500 0.5000  8 Ta 2.71-2.89, 4 Be 2.89
Be 0.5000 0.5000 0.0000  8 Ta 2.71-2.89, 4 Br 2.89

## Properties
M_tot, μB per formula unit: 0.00
ΔE_f (raw), eV per atom: 0.78
Energy above the lowest structure with this stoichiometry, meV/atom: 205.4
Raw total energy, eV/cell: -27.85

***

A relaxed TaBe2Br crystal. Source: the Alexandria database, functional GGA-PBEsol.

a = 5.2805 Å, b = 5.3533 Å, c = 5.3533 Å
α = 75.92°, β = 60.45°, γ = 60.45°
Last column: nearest neighbours and their distance in Å.
Fractional positions:
Be 0.8750 0.5223 0.9777  2 Br 2.32, 2 Ta 2.52
Be 0.1473 0.9777 0.4777  2 Br 2.32, 2 Ta 2.52
Be 0.3750 0.4777 0.0223  2 Br 2.32, 2 Ta 2.52
Be 0.6027 0.0223 0.5223  2 Br 2.32, 2 Ta 2.52
Br 0.2500 0.5000 0.5000  4 Be 2.32
Br 0.5000 0.0000 0.0000  4 Be 2.32
Ta 0.7500 0.5000 0.5000  4 Be 2.52, 2 Br 2.64
Ta 0.0000 0.0000 0.0000  4 Be 2.52, 2 Br 2.64

## Properties
M_tot, μB per formula unit: 0.00
ΔE_f (raw), eV per atom: 0.87
Energy above the lowest structure with this stoichiometry, meV/atom: 432.2
Raw total energy, eV/cell: -37.92

***

A relaxed BeTcBr crystal. Source: the Alexandria database, functional GGA-PBEsol.

a = 4.0654 Å, b = 4.0654 Å, c = 4.0654 Å
α = 60.00°, β = 60.00°, γ = 60.00°
Last column: nearest neighbours and their distance in Å.
Fractional positions:
Tc 0.2500 0.2500 0.2500  4 Br 2.49, 4 Be 2.49
Br 0.5000 0.5000 0.5000  4 Tc 2.49
Be 0.0000 0.0000 0.0000  4 Tc 2.49

## Properties
M_tot, μB per formula unit: 0.00
ΔE_f (raw), eV per atom: 1.05
Energy above the lowest structure with this stoichiometry, meV/atom: 508.5
Raw total energy, eV/cell: -13.97

***

A relaxed BeTcBr2 crystal. Source: the Alexandria database, functional GGA-PBEsol.

a = 3.1860 Å, b = 3.5264 Å, c = 7.6561 Å
α = 96.06°, β = 90.00°, γ = 116.86°
Last column: nearest neighbours and their distance in Å.
Fractional positions:
Tc 0.4476 0.8951 0.6861  3 Be 2.22-2.38, 2 Br 2.47
Be 0.7201 0.4402 0.5271  3 Tc 2.22-2.38, 2 Br 2.28
Br 0.9863 0.9726 0.9346  2 Tc 2.47
Br 0.3460 0.6921 0.3522  2 Be 2.28

## Properties
M_tot, μB per formula unit: 0.00
ΔE_f (raw), eV per atom: 0.09
Energy above the lowest structure with this stoichiometry, meV/atom: 30.8
Raw total energy, eV/cell: -18.65

***

A relaxed BeTc2Br crystal. Source: the Alexandria database, functional GGA-PBEsol.

a = 2.8344 Å, b = 2.8344 Å, c = 8.1303 Å
α = 90.00°, β = 90.00°, γ = 116.72°
Last column: nearest neighbours and their distance in Å.
Fractional positions:
Br 0.5000 0.5000 0.2857  2 Be 2.32
Tc 0.5000 0.5000 0.7309  2 Be 2.36, 2 Tc 2.50
Tc 0.0000 0.0000 0.9785  2 Tc 2.50
Be 0.0000 0.0000 0.5050  2 Br 2.32, 2 Tc 2.36

## Properties
M_tot, μB per formula unit: 0.00
ΔE_f (raw), eV per atom: 0.61
Energy above the lowest structure with this stoichiometry, meV/atom: 0.0
Raw total energy, eV/cell: -25.95